Record 1
The following is a PBE calculation of a geometry-optimized Sc5Al4Ni structure, from the Alexandria database.

Summary:
* DFT total energy: -5.7036 eV/atom
* ΔE_f: -463 meV/atom

a = 3.282 Å, b = 3.282 Å, c = 17.367 Å
α = 90.00°, β = 90.00°, γ = 90.00°
Fractional coordinates of all 10 atoms:
Sc 0.000 0.000 0.000
Sc 0.000 0.000 0.207
Sc 0.000 0.000 0.414
Sc 0.000 0.000 0.586
Sc 0.000 0.000 0.793
Al 0.500 0.500 0.103
Al 0.500 0.500 0.310
Al 0.500 0.500 0.690
Al 0.500 0.500 0.897
Ni 0.500 0.500 0.500

=====

Record 2
The following is a PBE calculation of a geometry-optimized ScAlNi3 structure, from the Alexandria database.

Summary:
* offset from the most stable computed form: 47.7 kJ/mol of atoms
* DFT total energy: -5.3487 eV/atom
* ΔE_f: 135 meV/atom

a = 4.292 Å, b = 4.292 Å, c = 4.292 Å
α = 90.00°, β = 90.00°, γ = 90.00°
Fractional coordinates of all 5 atoms:
Sc 0.000 0.000 0.000
Al 0.500 0.500 0.500
Ni 0.000 0.500 0.500
Ni 0.500 0.000 0.500
Ni 0.500 0.500 0.000

=====

Record 3
The following is a PBE calculation of a geometry-optimized ScAl2Ni structure, from the Alexandria database.

Summary:
* DFT total energy: -5.0266 eV/atom
* ΔE_f: -127 meV/atom

a = 3.013 Å, b = 3.013 Å, c = 25.578 Å
α = 90.00°, β = 90.00°, γ = 120.00°
Fractional coordinates of all 12 atoms:
Sc 0.000 0.000 0.000
Sc 0.333 0.667 0.667
Sc 0.667 0.333 0.333
Al 0.000 0.000 0.519
Al 0.000 0.000 0.764
Al 0.333 0.667 0.186
Al 0.333 0.667 0.431
Al 0.667 0.333 0.098
Al 0.667 0.333 0.853
Ni 0.000 0.000 0.256
Ni 0.333 0.667 0.923
Ni 0.667 0.333 0.590

=====

Record 4
The following is a PBE calculation of a geometry-optimized Sc2AlNi6 structure, from the Alexandria database.

Summary:
* DFT total energy: -6.1228 eV/atom
* ΔE_f: -446 meV/atom

a = 5.098 Å, b = 5.098 Å, c = 5.427 Å
α = 90.00°, β = 90.00°, γ = 120.00°
Fractional coordinates of all 9 atoms:
Sc 0.333 0.667 0.337
Sc 0.667 0.333 0.663
Al 0.000 0.000 0.500
Ni 0.175 0.351 0.827
Ni 0.175 0.825 0.827
Ni 0.351 0.175 0.173
Ni 0.649 0.825 0.827
Ni 0.825 0.175 0.173
Ni 0.825 0.649 0.173

=====

Record 5
The following is a PBE calculation of a geometry-optimized ScAl2Ni structure, from the Alexandria database.

Summary:
* DFT total energy: -5.3154 eV/atom
* ΔE_f: -416 meV/atom

a = 3.090 Å, b = 3.090 Å, c = 6.682 Å
α = 90.00°, β = 90.00°, γ = 90.00°
Fractional coordinates of all 4 atoms:
Sc 0.000 0.000 0.000
Al 0.000 0.000 0.565
Al 0.500 0.500 0.305
Ni 0.500 0.500 0.732

=====

Record 6
The following is a PBE calculation of a geometry-optimized ScAl2Ni structure, from the Alexandria database.

Summary:
* DFT total energy: -5.2543 eV/atom
* ΔE_f: -355 meV/atom

a = 4.072 Å, b = 3.094 Å, c = 10.382 Å
α = 90.00°, β = 90.00°, γ = 90.00°
Fractional coordinates of all 8 atoms:
Sc 0.000 0.000 0.000
Sc 0.000 0.500 0.500
Al 0.000 0.000 0.268
Al 0.000 0.500 0.768
Al 0.500 0.000 0.667
Al 0.500 0.500 0.167
Ni 0.500 0.000 0.398
Ni 0.500 0.500 0.898

=====

Record 7
The following is a PBE calculation of a geometry-optimized Sc3AlNi2 structure, from the Alexandria database.

Summary:
* DFT total energy: -6.2053 eV/atom
* ΔE_f: -489 meV/atom

a = 3.195 Å, b = 3.195 Å, c = 10.102 Å
α = 90.00°, β = 90.00°, γ = 90.00°
Fractional coordinates of all 6 atoms:
Sc 0.000 0.000 0.000
Sc 0.000 0.000 0.310
Sc 0.000 0.000 0.690
Al 0.500 0.500 0.500
Ni 0.500 0.500 0.161
Ni 0.500 0.500 0.839

=====

Record 8
The following is a PBE calculation of a geometry-optimized ScAl2Ni structure, from the Alexandria database.

Summary:
* DFT total energy: -4.9488 eV/atom
* ΔE_f: -49 meV/atom

a = 3.829 Å, b = 3.829 Å, c = 19.129 Å
α = 90.00°, β = 90.00°, γ = 90.00°
Fractional coordinates of all 16 atoms:
Sc 0.000 0.000 0.000
Sc 0.000 0.500 0.250
Sc 0.500 0.000 0.750
Sc 0.500 0.500 0.500
Al 0.234 0.250 0.625
Al 0.250 0.734 0.875
Al 0.250 0.766 0.375
Al 0.266 0.250 0.125
Al 0.734 0.750 0.125
Al 0.750 0.234 0.375
Al 0.750 0.266 0.875
Al 0.766 0.750 0.625
Ni 0.000 0.000 0.500
Ni 0.000 0.500 0.750
Ni 0.500 0.000 0.250
Ni 0.500 0.500 0.000

=====

Record 9
The following is a PBE calculation of a geometry-optimized Sc5AlNi structure, from the Alexandria database.

Summary:
* DFT total energy: -5.9712 eV/atom
* ΔE_f: -88 meV/atom

a = 5.847 Å, b = 5.847 Å, c = 10.355 Å
α = 103.88°, β = 103.88°, γ = 64.56°
Fractional coordinates of all 14 atoms:
Sc 0.027 0.973 0.750
Sc 0.041 0.409 0.643
Sc 0.214 0.537 0.955
Sc 0.409 0.041 0.143
Sc 0.463 0.786 0.545
Sc 0.537 0.214 0.455
Sc 0.591 0.959 0.857
Sc 0.786 0.463 0.045
Sc 0.959 0.591 0.357
Sc 0.973 0.027 0.250
Al 0.456 0.544 0.250
Al 0.544 0.456 0.750
Ni 0.000 0.000 0.000
Ni 0.000 0.000 0.500

=====

Record 10
The following is a PBE calculation of a geometry-optimized ScAl2Ni structure, from the Alexandria database.

Summary:
* DFT total energy: -5.3376 eV/atom
* ΔE_f: -438 meV/atom

a = 4.078 Å, b = 4.078 Å, c = 14.059 Å
α = 90.00°, β = 90.00°, γ = 120.00°
Fractional coordinates of all 12 atoms:
Sc 0.000 0.000 0.000
Sc 0.333 0.667 0.667
Sc 0.667 0.333 0.333
Al 0.000 0.000 0.213
Al 0.000 0.000 0.787
Al 0.333 0.667 0.453
Al 0.333 0.667 0.880
Al 0.667 0.333 0.120
Al 0.667 0.333 0.547
Ni 0.000 0.000 0.500
Ni 0.333 0.667 0.167
Ni 0.667 0.333 0.833

=====

Record 11
The following is a PBE calculation of a geometry-optimized Sc8AlNi2 structure, from the Alexandria database.

Summary:
* DFT total energy: -6.2319 eV/atom
* ΔE_f: -236 meV/atom

a = 8.453 Å, b = 8.453 Å, c = 8.557 Å
α = 99.91°, β = 99.91°, γ = 22.66°
Fractional coordinates of all 11 atoms:
Sc 0.025 0.025 0.195
Sc 0.137 0.137 0.682
Sc 0.322 0.322 0.613
Sc 0.345 0.345 0.993
Sc 0.655 0.655 0.007
Sc 0.678 0.678 0.387
Sc 0.863 0.863 0.318
Sc 0.975 0.975 0.805
Al 0.500 0.500 0.500
Ni 0.242 0.242 0.216
Ni 0.758 0.758 0.784

=====

Record 12
The following is a PBE calculation of a geometry-optimized ScAl2Ni structure, from the Alexandria database.

Summary:
* DFT total energy: -5.3314 eV/atom
* ΔE_f: -432 meV/atom

a = 3.914 Å, b = 3.914 Å, c = 4.132 Å
α = 90.00°, β = 90.00°, γ = 90.00°
Fractional coordinates of all 4 atoms:
Sc 0.000 0.000 0.000
Al 0.000 0.500 0.500
Al 0.500 0.000 0.500
Ni 0.500 0.500 0.000

=====

Record 13
The following is a PBE calculation of a geometry-optimized ScAl2Ni structure, from the Alexandria database.

Summary:
* DFT total energy: -5.5574 eV/atom
* ΔE_f: -658 meV/atom

a = 4.018 Å, b = 6.696 Å, c = 5.172 Å
α = 90.00°, β = 112.75°, γ = 90.00°
Fractional coordinates of all 8 atoms:
Sc 0.067 0.250 0.134
Sc 0.933 0.750 0.866
Al 0.353 0.051 0.707
Al 0.353 0.449 0.707
Al 0.647 0.551 0.293
Al 0.647 0.949 0.293
Ni 0.210 0.750 0.420
Ni 0.790 0.250 0.580

=====

Record 14
The following is a PBE calculation of a geometry-optimized Sc3Al2Ni6 structure, from the Alexandria database.

Summary:
* DFT total energy: -6.1618 eV/atom
* ΔE_f: -601 meV/atom

a = 7.466 Å, b = 7.466 Å, c = 7.466 Å
α = 109.47°, β = 109.47°, γ = 109.47°
Fractional coordinates of all 22 atoms:
Sc 0.000 0.288 0.288
Sc 0.000 0.712 0.712
Sc 0.288 0.000 0.288
Sc 0.288 0.288 0.000
Sc 0.712 0.000 0.712
Sc 0.712 0.712 0.000
Al 0.000 0.000 0.500
Al 0.000 0.500 0.000
Al 0.500 0.000 0.000
Al 0.500 0.500 0.500
Ni 0.000 0.341 0.659
Ni 0.000 0.659 0.341
Ni 0.319 0.659 0.659
Ni 0.341 0.000 0.659
Ni 0.341 0.341 0.681
Ni 0.341 0.659 0.000
Ni 0.341 0.681 0.341
Ni 0.659 0.000 0.341
Ni 0.659 0.319 0.659
Ni 0.659 0.341 0.000
Ni 0.659 0.659 0.319
Ni 0.681 0.341 0.341

=====

Record 15
The following is a PBE calculation of a geometry-optimized ScAl2Ni structure, from the Alexandria database.

Summary:
* DFT total energy: -5.3347 eV/atom
* ΔE_f: -435 meV/atom

a = 4.419 Å, b = 4.419 Å, c = 6.316 Å
α = 90.00°, β = 90.00°, γ = 90.00°
Fractional coordinates of all 8 atoms:
Sc 0.000 0.000 0.000
Sc 0.500 0.500 0.500
Al 0.000 0.000 0.500
Al 0.000 0.500 0.250
Al 0.500 0.000 0.750
Al 0.500 0.500 0.000
Ni 0.000 0.500 0.750
Ni 0.500 0.000 0.250

=====

Record 16
The following is a PBE calculation of a geometry-optimized Sc2Al9Ni3 structure, from the Alexandria database.

Summary:
* DFT total energy: -5.1088 eV/atom
* ΔE_f: -559 meV/atom

a = 7.357 Å, b = 7.357 Å, c = 10.021 Å
α = 111.44°, β = 111.44°, γ = 59.77°
Fractional coordinates of all 28 atoms:
Sc 0.086 0.253 0.250
Sc 0.253 0.086 0.750
Sc 0.747 0.914 0.250
Sc 0.914 0.747 0.750
Al 0.018 0.864 0.074
Al 0.136 0.982 0.426
Al 0.186 0.358 0.573
Al 0.200 0.581 0.252
Al 0.309 0.483 0.944
Al 0.358 0.186 0.073
Al 0.362 0.638 0.750
Al 0.419 0.800 0.248
Al 0.483 0.309 0.444
Al 0.517 0.691 0.556
Al 0.581 0.200 0.752
Al 0.638 0.362 0.250
Al 0.642 0.814 0.927
Al 0.691 0.517 0.056
Al 0.800 0.419 0.748
Al 0.814 0.642 0.427
Al 0.864 0.018 0.574
Al 0.982 0.136 0.926
Ni 0.000 0.500 0.000
Ni 0.159 0.671 0.500
Ni 0.329 0.841 0.000
Ni 0.500 0.000 0.500
Ni 0.671 0.159 0.000
Ni 0.841 0.329 0.500

=====

Record 17
The following is a PBE calculation of a geometry-optimized ScAl2Ni structure, from the Alexandria database.

Summary:
* DFT total energy: -5.5351 eV/atom
* ΔE_f: -636 meV/atom

a = 14.821 Å, b = 6.703 Å, c = 5.174 Å
α = 90.00°, β = 90.00°, γ = 90.00°
Fractional coordinates of all 32 atoms:
Sc 0.108 0.250 0.242
Sc 0.141 0.750 0.462
Sc 0.359 0.250 0.962
Sc 0.392 0.750 0.742
Sc 0.608 0.250 0.258
Sc 0.641 0.750 0.038
Sc 0.859 0.250 0.538
Sc 0.892 0.750 0.758
Al 0.036 0.052 0.751
Al 0.036 0.448 0.751
Al 0.213 0.552 0.958
Al 0.213 0.948 0.958
Al 0.287 0.052 0.458
Al 0.287 0.448 0.458
Al 0.464 0.552 0.251
Al 0.464 0.948 0.251
Al 0.536 0.052 0.749
Al 0.536 0.448 0.749
Al 0.713 0.552 0.542
Al 0.713 0.948 0.542
Al 0.787 0.052 0.042
Al 0.787 0.448 0.042
Al 0.964 0.552 0.249
Al 0.964 0.948 0.249
Ni 0.072 0.750 0.988
Ni 0.177 0.250 0.717
Ni 0.323 0.750 0.217
Ni 0.428 0.250 0.488
Ni 0.572 0.750 0.512
Ni 0.677 0.250 0.783
Ni 0.823 0.750 0.283
Ni 0.928 0.250 0.012

=====

Record 18
The following is a PBE calculation of a geometry-optimized ScAl2Ni structure, from the Alexandria database.

Summary:
* DFT total energy: -5.0963 eV/atom
* ΔE_f: -197 meV/atom

a = 2.999 Å, b = 2.999 Å, c = 25.685 Å
α = 90.00°, β = 90.00°, γ = 120.00°
Fractional coordinates of all 12 atoms:
Sc 0.000 0.000 0.000
Sc 0.333 0.667 0.667
Sc 0.667 0.333 0.333
Al 0.000 0.000 0.237
Al 0.000 0.000 0.763
Al 0.333 0.667 0.430
Al 0.333 0.667 0.903
Al 0.667 0.333 0.097
Al 0.667 0.333 0.570
Ni 0.000 0.000 0.500
Ni 0.333 0.667 0.167
Ni 0.667 0.333 0.833

=====

Record 19
The following is a PBE calculation of a geometry-optimized Sc2Al2Ni3 structure, from the Alexandria database.

Summary:
* DFT total energy: -5.8870 eV/atom
* ΔE_f: -531 meV/atom

a = 7.627 Å, b = 4.402 Å, c = 6.920 Å
α = 90.00°, β = 111.45°, γ = 90.00°
Fractional coordinates of all 14 atoms:
Sc 0.112 0.000 0.336
Sc 0.388 0.500 0.664
Sc 0.612 0.500 0.336
Sc 0.888 0.000 0.664
Al 0.130 0.500 0.889
Al 0.370 0.000 0.111
Al 0.630 0.000 0.889
Al 0.870 0.500 0.111
Ni 0.000 0.500 0.500
Ni 0.248 0.000 0.745
Ni 0.252 0.500 0.255
Ni 0.500 0.000 0.500
Ni 0.748 0.500 0.745
Ni 0.752 0.000 0.255

=====

Record 20
The following is a PBE calculation of a geometry-optimized ScAl4Ni structure, from the Alexandria database.

Summary:
* DFT total energy: -4.5808 eV/atom
* ΔE_f: -67 meV/atom

a = 5.223 Å, b = 5.223 Å, c = 5.223 Å
α = 60.00°, β = 60.00°, γ = 60.00°
Fractional coordinates of all 6 atoms:
Sc 0.000 0.000 0.000
Al 0.375 0.375 0.375
Al 0.375 0.375 0.876
Al 0.375 0.876 0.375
Al 0.876 0.375 0.375
Ni 0.750 0.750 0.750